A plane-wave DFT calculation with PBE was carried out for an optimized crystal structure of MgPaRh6.

Lattice parameters (Å, degrees): 3.9655 5.6329 5.6329 90.01 90.00 90.00
Atoms (fractional coordinates):
Rh (0.5000, 0.5000, 0.0000)
Rh (0.0000, 0.7447, 0.7447)
Rh (0.0000, 0.7448, 0.2552)
Mg (0.5000, 0.5000, 0.5000)
Rh (0.0000, 0.2553, 0.2553)
Rh (0.5000, 0.0000, 0.5000)
Rh (0.0000, 0.2552, 0.7448)
Pa (0.5000, 0.0000, 0.0000)

* formation energy: -0.56 eV per atom



A plane-wave DFT calculation with PBE was carried out for an optimized crystal structure of MgPa2Rh9.

Lattice parameters (Å, degrees): 4.0373 4.0373 11.8219 90.00 90.00 90.00
Atoms (fractional coordinates):
Rh (0.0000, 0.5000, 0.1583)
Rh (0.5000, 0.0000, 0.1583)
Rh (0.0000, 0.5000, 0.8417)
Mg (0.0000, 0.0000, 0.0000)
Rh (0.5000, 0.5000, 0.0000)
Rh (0.5000, 0.0000, 0.8417)
Rh (0.5000, 0.5000, 0.3295)
Rh (0.0000, 0.5000, 0.5000)
Pa (0.0000, 0.0000, 0.3259)
Rh (0.5000, 0.0000, 0.5000)
Rh (0.5000, 0.5000, 0.6705)
Pa (0.0000, 0.0000, 0.6741)

* formation energy: -0.66 eV per atom



A plane-wave DFT calculation with PBE was carried out for an optimized crystal structure of MgPaRh3.

Lattice parameters (Å, degrees): 4.5754 5.5589 7.2705 90.00 108.31 90.00
Atoms (fractional coordinates):
Rh (0.1109, 0.7500, 0.2217)
Rh (0.5000, 0.5000, 0.0000)
Pa (0.6912, 0.7500, 0.3824)
Rh (0.3157, 0.7500, 0.6308)
Mg (0.0733, 0.2500, 0.1468)
Rh (0.5000, 0.0000, 0.0000)
Rh (0.8891, 0.2500, 0.7783)
Rh (0.6843, 0.2500, 0.3692)
Pa (0.3088, 0.2500, 0.6176)
Mg (0.9267, 0.7500, 0.8532)

* formation energy: -0.63 eV per atom



A plane-wave DFT calculation with PBE was carried out for an optimized crystal structure of Mg2PaRh2.

Lattice parameters (Å, degrees): 6.3569 6.7810 9.5660 91.98 90.00 90.00
Atoms (fractional coordinates):
Pa (0.1718, 0.0151, 0.3415)
Pa (0.8282, 0.9849, 0.6585)
Rh (0.4368, 0.7902, 0.5173)
Rh (0.9608, 0.2686, 0.8139)
Mg (0.3288, 0.1063, 0.7107)
Rh (0.5632, 0.2098, 0.4827)
Mg (0.7476, 0.5487, 0.0043)
Mg (0.7524, 0.0487, 0.0043)
Mg (0.1712, 0.6063, 0.7107)
Pa (0.6718, 0.4849, 0.6585)
Mg (0.2476, 0.9513, 0.9957)
Mg (0.8288, 0.3937, 0.2893)
Pa (0.3282, 0.5151, 0.3415)
Mg (0.2524, 0.4513, 0.9957)
Rh (0.9368, 0.7098, 0.4827)
Rh (0.0392, 0.7314, 0.1861)
Rh (0.4608, 0.2314, 0.1861)
Rh (0.0632, 0.2902, 0.5173)
Mg (0.6712, 0.8937, 0.2893)
Rh (0.5392, 0.7686, 0.8139)

* formation energy: -0.53 eV per atom



A plane-wave DFT calculation with PBE was carried out for an optimized crystal structure of MgPaRh4.

Lattice parameters (Å, degrees): 4.3837 4.3836 5.8444 90.00 90.00 90.00
Atoms (fractional coordinates):
Rh (0.0014, 0.4974, 0.7493)
Rh (0.5012, 0.9971, 0.7493)
Pa (0.0012, 0.9975, 0.4981)
Rh (0.0014, 0.4974, 0.2469)
Rh (0.5012, 0.9971, 0.2469)
Mg (0.5013, 0.4971, 0.9982)

* formation energy: -0.29 eV per atom



A plane-wave DFT calculation with PBE was carried out for an optimized crystal structure of Mg2PaRh3.

Lattice parameters (Å, degrees): 3.5475 4.5111 12.9494 90.00 90.00 90.00
Atoms (fractional coordinates):
Mg (0.0001, 0.5000, 0.1773)
Rh (0.5002, 0.5000, 0.6578)
Rh (0.5002, 0.5000, 0.3422)
Mg (0.9999, 0.0000, 0.6773)
Rh (0.4998, 0.0000, 0.1578)
Mg (0.0001, 0.5000, 0.8227)
Pa (0.0001, 0.5000, 0.5000)
Rh (0.5000, 0.0000, 0.5000)
Rh (0.5000, 0.5000, 0.0000)
Pa (0.9999, 0.0000, 0.0000)
Mg (0.9999, 0.0000, 0.3227)
Rh (0.4998, 0.0000, 0.8422)

* formation energy: -0.77 eV per atom



A plane-wave DFT calculation with PBE was carried out for an optimized crystal structure of Mg2PaRh4.

Lattice parameters (Å, degrees): 4.1268 4.1268 7.7034 105.54 105.54 90.00
Atoms (fractional coordinates):
Pa (0.0000, 0.0000, 0.0000)
Mg (0.2531, 0.2531, 0.5062)
Rh (0.6240, 0.1240, 0.2479)
Mg (0.7469, 0.7469, 0.4938)
Rh (0.1240, 0.6240, 0.2479)
Rh (0.3760, 0.8760, 0.7521)
Rh (0.8760, 0.3760, 0.7521)

* formation energy: -0.58 eV per atom



A plane-wave DFT calculation with PBE was carried out for an optimized crystal structure of MgPaRh4.

Lattice parameters (Å, degrees): 3.6873 5.0197 6.5398 105.43 73.63 68.45
Atoms (fractional coordinates):
Mg (0.0000, 0.0000, 0.0000)
Rh (0.8242, 0.5137, 0.8379)
Rh (0.6614, 0.9987, 0.6786)
Pa (0.5000, 0.5000, 0.5000)
Rh (0.1758, 0.4863, 0.1621)
Rh (0.3386, 0.0013, 0.3214)

* formation energy: -0.55 eV per atom